1.
5
Lattice="4.624 0.000 0.000 0.000 4.624 0.000 0.000 0.000 4.151" Properties=species:S:1:pos:R:3 comment="MgZrCd2H | Alexandria via LeMat-Bulk | GGA-PBE | optimized geometry" dft_energy_ev_per_atom=-3.11 pbc="T T T"
Mg 2.312 2.312 2.076
Cd 2.312 0.000 0.000
H 0.000 0.000 0.000
Zr 0.000 0.000 2.076
Cd 0.000 2.312 0.000

2.
4
Lattice="5.634 0.000 0.000 2.817 4.879 0.000 2.817 1.626 4.600" Properties=species:S:1:pos:R:3 comment="NaLaPrTl | Alexandria via LeMat-Bulk | GGA-PBE | optimized geometry" dft_energy_ev_per_atom=-3.47 delta_e_f_ev_per_atom=-0.120 pbc="T T T"
Na 0.000 0.000 0.000
La 2.817 1.626 1.150
Pr 8.452 4.879 3.450
Tl 5.634 3.253 2.300

> What is the formula in the second record?

NaLaPrTl